Here is a relaxed structure of Y2Ho3Ni2 from Alexandria via LeMat-Bulk. Energies are from PBE-GGA.

## Properties
As for the crystal system: monoclinic. The calculation puts the formation energy at -0.26 eV per atom. The magnetization is 0.0 μB/f.u. Its energy above the most stable polymorph in this dataset is 0.000 eV per atom. The calculation puts the total energy at -5.72 eV/atom.

a = 3.6203 Å, b = 6.3119 Å, c = 8.9313 Å
α = 115.59°, β = 90.00°, γ = 106.67°
With the nearest neighbours (Å) after each atom.
Sites, in units of the cell vectors:
1 Ho 0.6162 0.2324 0.4341  3 Ni 2.79-2.90
2 Ni 0.8290 0.6581 0.7613  5 Ho 2.79-2.90, 2 Y 2.86
3 Y 0.1650 0.3300 0.8094  2 Ni 2.86
4 Ho 0.3838 0.7676 0.5659  3 Ni 2.79-2.90
5 Ho 0.5000 0.0000 0.0000  4 Ni 2.85
6 Y 0.8350 0.6700 0.1906  2 Ni 2.86
7 Ni 0.1710 0.3419 0.2387  5 Ho 2.79-2.90, 2 Y 2.86


Here is a relaxed structure of NaAlZn2 from Alexandria via LeMat-Bulk. Energies are from PBE-GGA.

## Properties
As for the crystal system: trigonal. The calculation puts the formation energy at 0.11 eV per atom. The magnetization is 0.0 μB/f.u. The calculation puts the total energy at -1.79 eV/atom.

a = 2.9666 Å, b = 2.9666 Å, c = 9.7311 Å
α = 81.23°, β = 81.23°, γ = 60.00°
With the nearest neighbours (Å) after each atom.
Sites, in units of the cell vectors:
1 Na 0.5000 0.5000 0.5000  6 Na 2.97, 6 Zn 3.11
2 Zn 0.7428 0.7428 0.7715  3 Al 2.78, 6 Zn 2.97
3 Al 0.0000 0.0000 0.0000  6 Zn 2.78, 6 Al 2.97
4 Zn 0.2572 0.2572 0.2285  3 Al 2.78, 6 Zn 2.97


Here is a relaxed structure of MgAlBr2 from Alexandria via LeMat-Bulk. Energies are from PBE-GGA.

## Properties
As for the formation energy (no corrections): -47.4 kJ per mole of atoms. As for the crystal system: tetragonal. The magnetization is 0.0 μB/f.u. Its energy above the most stable polymorph in this dataset is 0.147 eV per atom. The calculation puts the total energy at -2.66 eV/atom.

a = 3.3924 Å, b = 3.3924 Å, c = 9.3058 Å
α = 90.00°, β = 90.00°, γ = 90.00°
With the nearest neighbours (Å) after each atom.
Sites, in units of the cell vectors:
1 Br 0.5000 0.5000 0.3459  4 Mg 2.83
2 Br 0.0000 0.0000 0.9138  4 Al 2.93
3 Al 0.5000 0.5000 0.7336  4 Br 2.93, 4 Mg 3.20
4 Mg 0.0000 0.0000 0.5067  4 Br 2.83


Here is a relaxed structure of Cs4PmBr5 from Alexandria via LeMat-Bulk. Energies are from PBE-GGA.

## Properties
As for the formation energy (no corrections): -143.5 kJ per mole of atoms. As for the crystal system: tetragonal. The magnetization is 1.7 μB/f.u. The calculation puts the total energy at -3.14 eV/atom.

a = 8.0913 Å, b = 8.7103 Å, c = 8.7103 Å
α = 77.54°, β = 62.32°, γ = 62.32°
With the nearest neighbours (Å) after each atom.
Sites, in units of the cell vectors:
1 Cs 0.2538 0.1988 0.3680  5 Br 3.58-3.83
2 Br 0.3452 0.0000 0.0000  1 Pm 2.97
3 Cs 0.8206 0.8012 0.6320  5 Br 3.58-3.83
4 Pm 0.9786 0.0000 0.0000  5 Br 2.97-3.03
5 Br 0.0920 0.6536 0.1813  1 Pm 3.03
6 Cs 0.6218 0.6320 0.1988  5 Br 3.58-3.83
7 Br 0.7455 0.1813 0.3464  1 Pm 3.03
8 Br 0.9269 0.3464 0.8187  1 Pm 3.03
9 Br 0.2733 0.8187 0.6536  1 Pm 3.03
10 Cs 0.4526 0.3680 0.8012  5 Br 3.58-3.83


Here is a relaxed structure of Cs2CaTl10 from Alexandria via LeMat-Bulk. Energies are from PBE-GGA.

## Properties
As for the crystal system: orthorhombic. The calculation puts the formation energy at -0.02 eV per atom. The magnetization is 0.0 μB/f.u. The calculation puts the total energy at -2.12 eV/atom.

a = 7.1020 Å, b = 9.2374 Å, c = 16.5163 Å
α = 90.00°, β = 90.00°, γ = 90.00°
With the nearest neighbours (Å) after each atom.
Sites, in units of the cell vectors:
1 Tl 0.0000 0.3583 0.3246  2 Tl 2.98-3.09, 1 Ca 3.18
2 Cs 0.5000 0.2968 0.9006  8 Tl 4.03-4.23
3 Tl 0.7410 0.8160 0.8335  7 Tl 3.41-3.68, 1 Ca 3.72
4 Tl 0.0000 0.8337 0.4861  1 Ca 3.09, 5 Tl 3.11-3.41
5 Tl 0.0000 0.1417 0.8246  2 Tl 2.98-3.09, 1 Ca 3.18
6 Tl 0.0000 0.4760 0.8305  4 Tl 2.98-3.30
7 Cs 0.5000 0.7032 0.0994  8 Tl 4.03-4.23
8 Tl 0.7410 0.1840 0.1665  7 Tl 3.41-3.68, 1 Ca 3.72
9 Tl 0.0000 0.3337 0.0139  1 Ca 3.09, 5 Tl 3.11-3.41
10 Tl 0.0000 0.1663 0.5139  1 Ca 3.09, 5 Tl 3.11-3.41
11 Tl 0.0000 0.9760 0.6695  4 Tl 2.98-3.30
12 Cs 0.5000 0.7968 0.5994  8 Tl 4.03-4.23
13 Tl 0.2590 0.6840 0.3335  7 Tl 3.41-3.68, 1 Ca 3.72
14 Tl 0.2590 0.3160 0.6665  7 Tl 3.41-3.68, 1 Ca 3.72
15 Cs 0.5000 0.2032 0.4006  8 Tl 4.03-4.23
16 Ca 0.0000 0.5000 0.5000  4 Tl 3.09-3.18
17 Ca 0.0000 0.0000 0.0000  4 Tl 3.09-3.18
18 Tl 0.7410 0.6840 0.3335  7 Tl 3.41-3.68, 1 Ca 3.72
19 Tl 0.0000 0.8583 0.1754  2 Tl 2.98-3.09, 1 Ca 3.18
20 Tl 0.0000 0.6417 0.6754  2 Tl 2.98-3.09, 1 Ca 3.18
21 Tl 0.7410 0.3160 0.6665  7 Tl 3.41-3.68, 1 Ca 3.72
22 Tl 0.2590 0.1840 0.1665  7 Tl 3.41-3.68, 1 Ca 3.72
23 Tl 0.0000 0.0240 0.3305  4 Tl 2.98-3.30
24 Tl 0.0000 0.6663 0.9861  1 Ca 3.09, 5 Tl 3.11-3.41
25 Tl 0.0000 0.5240 0.1695  4 Tl 2.98-3.30
26 Tl 0.2590 0.8160 0.8335  7 Tl 3.41-3.68, 1 Ca 3.72